[1]
KNi2Bi: relaxed, PBE.

As for the energy above the lowest structure with this stoichiometry: 0.000 eV per atom. The calculation puts the calculated volume at 19.68 Å³/atom. The energy relative to the elements comes out at 554 meV per atom.

The space group is Fm-3m (No. 225) and the conventional cell measures 6.803, 6.803 and 6.803 Å, with angles of 90.00, 90.00 and 90.00 degrees. Symmetry generates all atoms from K at (0.000, 0.000, 0.000), Ni at (0.250, 0.250, 0.250) and Bi at (0.000, 0.000, 0.500).

[2]
KNi4Bi12: relaxed, PBE.

The calculation puts the calculated volume at 27.25 Å³/atom. The energy relative to the elements comes out at -61 meV per atom.

The space group is Im-3 (No. 204) and the conventional cell measures 9.749, 9.749 and 9.749 Å, with angles of 90.00, 90.00 and 90.00 degrees. Symmetry generates all atoms from K at (0.000, 0.000, 0.000), Ni at (0.250, 0.250, 0.250) and Bi at (0.000, 0.335, 0.165).

[3]
KNiBi2: relaxed, PBE.

As for the energy above the lowest structure with this stoichiometry: 0.268 eV per atom. The calculation puts the calculated volume at 39.84 Å³/atom. The energy relative to the elements comes out at 132 meV per atom.

The space group is I-42d (No. 122) and the conventional cell measures 6.252, 6.252 and 16.308 Å, with angles of 90.00, 90.00 and 90.00 degrees. Symmetry generates all atoms from K at (0.000, 0.000, 0.000), Ni at (0.000, 0.000, 0.500) and Bi at (0.003, 0.750, 0.625).

[4]
KNiBi2: relaxed, PBE.

As for the energy above the lowest structure with this stoichiometry: 0.172 eV per atom. The calculation puts the calculated volume at 27.41 Å³/atom. The energy relative to the elements comes out at 36 meV per atom.

The space group is P4/mmm (No. 123) and the conventional cell measures 3.469, 3.469 and 9.107 Å, with angles of 90.00, 90.00 and 90.00 degrees. Symmetry generates all atoms from K at (0.000, 0.000, 0.000), Ni at (0.000, 0.000, 0.500) and Bi at (0.500, 0.500, 0.322).

[5]
KNiBi2: relaxed, PBE.

As for the energy above the lowest structure with this stoichiometry: 0.425 eV per atom. The calculation puts the calculated volume at 25.55 Å³/atom. The energy relative to the elements comes out at 290 meV per atom.

The space group is Fm-3m (No. 225) and the conventional cell measures 7.422, 7.422 and 7.422 Å, with angles of 90.00, 90.00 and 90.00 degrees. Symmetry generates all atoms from K at (0.000, 0.000, 0.000), Ni at (0.000, 0.000, 0.500) and Bi at (0.250, 0.250, 0.250).